# 1
The following is a DFT calculation (PBE-GGA) of a relaxed structure of LaMnMo.

a b c (Å): 6.2860 6.2860 6.2860
angles (deg): 90.00 90.00 90.00
Last column: nearest neighbours and their distance in Å.
Space group F-43m (No. 216)
Asymmetric unit:
La (0.0000, 0.0000, 0.0000) (multiplicity 4)  4 Mn 2.72
Mn (0.2500, 0.2500, 0.2500) (multiplicity 4)  4 La 2.72, 4 Mo 2.72
Mo (0.0000, 0.0000, 0.5000) (multiplicity 4)  4 Mn 2.72

## Properties
ΔE to the lowest computed polymorph   1.334 eV per formula unit

# 2
The following is a DFT calculation (PBE-GGA) of a relaxed structure of LaAs2W.

a b c (Å): 5.6024 5.6024 14.3922
angles (deg): 90.00 90.00 90.00
Last column: nearest neighbours and their distance in Å.
Space group I-42d (No. 122)
Asymmetric unit:
La (0.0000, 0.0000, 0.0000) (multiplicity 4)  4 As 3.01
As (0.1481, 0.2500, 0.6250) (multiplicity 8)  2 W 2.43
W (0.0000, 0.0000, 0.5000) (multiplicity 4)  4 As 2.43

## Properties
ΔE to the lowest computed polymorph   1.728 eV per formula unit

# 3
The following is a DFT calculation (PBE-GGA) of a relaxed structure of DyTm2Pt3.

a b c (Å): 4.9142 14.7541 3.4365
angles (deg): 90.00 90.00 90.00
Last column: nearest neighbours and their distance in Å.
Space group Pmmn (No. 59, origin choice 2)
Asymmetric unit:
Dy (0.2500, 0.2500, 0.0012) (multiplicity 2)  8 Pt 3.00-3.04
Tm (0.2500, 0.5831, 0.9996) (multiplicity 4)  8 Pt 2.96-3.01
Pt (0.2500, 0.0803, 0.4995) (multiplicity 4)  6 Tm 2.96-3.00, 2 Dy 3.03-3.04
Pt (0.2500, 0.7500, 0.4981) (multiplicity 2)  4 Dy 3.00, 4 Tm 3.00-3.01

## Properties
Final energy   -6.543 eV/atom

# 4
The following is a DFT calculation (PBE-GGA) of a relaxed structure of Tm2CuNi3.

a b c (Å): 5.1158 5.1158 12.1595
angles (deg): 90.00 90.00 120.00
Last column: nearest neighbours and their distance in Å.
Space group R-3m (No. 166, hexagonal axes)
Asymmetric unit:
Tm (0.0000, 0.0000, 0.1253) (multiplicity 6)  9 Ni 2.93-2.98, 3 Cu 3.00, 4 Tm 3.05-3.12
Cu (0.0000, 0.0000, 0.5000) (multiplicity 3)  6 Ni 2.51
Ni (0.0000, 0.5000, 0.0000) (multiplicity 9)  2 Cu 2.51, 4 Ni 2.56

## Properties
ΔE to the lowest computed polymorph   0.000 eV per formula unit

# 5
The following is a DFT calculation (PBE-GGA) of a relaxed structure of Dy3Ho2Ge4.

a b c (Å): 7.9541 7.7680 7.5939
angles (deg): 90.00 112.63 90.00
Last column: nearest neighbours and their distance in Å.
Space group P2_1/c (No. 14)
Asymmetric unit:
Dy (0.0000, 0.0000, 0.0000) (multiplicity 2)  6 Ge 3.02-3.04
Dy (0.2990, 0.1789, 0.4408) (multiplicity 4)  5 Ge 2.97-3.23
Ho (0.2637, 0.6627, 0.2749) (multiplicity 4)  6 Ge 2.86-3.02
Ge (0.0092, 0.1319, 0.6303) (multiplicity 4)  1 Ge 2.81, 3 Ho 2.97-3.02, 3 Dy 2.97-3.02
Ge (0.4123, 0.5335, 0.6789) (multiplicity 4)  3 Ho 2.86-3.00, 3 Dy 2.98-3.13

## Properties
Final energy   -5.464 eV/atom

# 6
The following is a DFT calculation (PBE-GGA) of a relaxed structure of Ce3Nd2HoSe6.

a b c (Å): 7.2441 12.5524 7.2761
angles (deg): 90.00 109.41 90.00
Last column: nearest neighbours and their distance in Å.
Space group C2/m (No. 12)
Asymmetric unit:
Ce (0.0000, 0.0000, 0.0000) (multiplicity 2)  6 Se 2.96-3.02
Ce (0.0000, 0.3292, 0.0000) (multiplicity 4)  6 Se 2.96-3.00
Nd (0.0000, 0.1662, 0.5000) (multiplicity 4)  6 Se 2.97-2.98
Ho (0.0000, 0.5000, 0.5000) (multiplicity 2)  6 Se 2.89-2.90
Se (0.2407, 0.5000, 0.2507) (multiplicity 4)  1 Ho 2.90, 3 Ce 2.98-3.02, 2 Nd 2.98
Se (0.2435, 0.3378, 0.7449) (multiplicity 8)  1 Ho 2.89, 3 Ce 2.96-3.00, 2 Nd 2.97

## Properties
Energy relative to the elements, uncorrected   -1817 meV/atom

# 7
The following is a DFT calculation (PBE-GGA) of a relaxed structure of BaCaLaIn.

a b c (Å): 8.4248 8.4248 8.4248
angles (deg): 90.00 90.00 90.00
Last column: nearest neighbours and their distance in Å.
Space group F-43m (No. 216)
Asymmetric unit:
Ba (0.0000, 0.0000, 0.0000) (multiplicity 4)  4 In 3.65, 4 Ca 3.65
Ca (0.2500, 0.2500, 0.2500) (multiplicity 4)  4 Ba 3.65, 4 La 3.65
La (0.0000, 0.0000, 0.5000) (multiplicity 4)  4 Ca 3.65, 4 In 3.65
In (0.2500, 0.2500, 0.7500) (multiplicity 4)  4 Ba 3.65, 4 La 3.65

## Properties
Final energy   -3.032 eV/atom

# 8
The following is a DFT calculation (PBE-GGA) of a relaxed structure of SrPRu.

a b c (Å): 3.9905 3.9905 4.7774
angles (deg): 90.00 90.00 120.00
Last column: nearest neighbours and their distance in Å.
Space group P-6m2 (No. 187)
Asymmetric unit:
Sr (0.0000, 0.0000, 0.0000) (multiplicity 1)  6 P 3.32, 6 Ru 3.32
P (0.6667, 0.3333, 0.5000) (multiplicity 1)  3 Ru 2.30
Ru (0.3333, 0.6667, 0.5000) (multiplicity 1)  3 P 2.30

## Properties
Final energy   -6.092 eV/atom

# 9
The following is a DFT calculation (PBE-GGA) of a relaxed structure of RbCrIn3.

a b c (Å): 5.2343 5.2343 5.2343
angles (deg): 90.00 90.00 90.00
Last column: nearest neighbours and their distance in Å.
Space group Pm-3m (No. 221)
Asymmetric unit:
Rb (0.0000, 0.0000, 0.0000) (multiplicity 1)  12 In 3.70
Cr (0.5000, 0.5000, 0.5000) (multiplicity 1)  6 In 2.62
In (0.0000, 0.5000, 0.5000) (multiplicity 3)  2 Cr 2.62

## Properties
ΔE to the lowest computed polymorph   0.000 eV per formula unit

In order of appearance, mass density = 7.7, 6.9, 14.5, 10.4, 8.5, 7.2, 4.8, 5.5, 5.6 g/cm3.